1.
Density functional theory data (PBE) for DyErSc3 after structural relaxation.

Computed properties:
Energy relative to the elements (eV per atom): 0.02
Raw total energy (eV/atom): -5.610

abc: 5.925 6.350 8.669
angles: 107.56 90.04 117.71
Sites, in units of the cell vectors:
Dy  0.073  0.305  0.054
Dy  0.927  0.695  0.946
Er  0.462  0.092  0.840
Er  0.538  0.908  0.160
Sc  0.138  0.102  0.358
Sc  0.263  0.696  0.452
Sc  0.330  0.493  0.739
Sc  0.670  0.507  0.261
Sc  0.737  0.304  0.548
Sc  0.862  0.898  0.642

2.
Density functional theory data (PBE) for Cu2SnTe3 after structural relaxation.

Computed properties:
Raw total energy (eV/atom): -3.743

abc: 7.565 7.565 7.590
angles: 99.68 99.68 119.89
Sites, in units of the cell vectors:
Cu  0.083  0.917  0.500
Cu  0.230  0.736  0.998
Cu  0.736  0.230  0.498
Cu  0.917  0.083  0.000
Sn  0.389  0.568  0.484
Sn  0.568  0.389  0.984
Te  0.167  0.999  0.862
Te  0.359  0.886  0.359
Te  0.537  0.731  0.889
Te  0.731  0.537  0.389
Te  0.886  0.359  0.859
Te  0.999  0.167  0.362

3.
Density functional theory data (PBE) for HfHgPS2 after structural relaxation.

Computed properties:
Raw total energy (eV/atom): -4.976

abc: 4.878 4.878 5.256
angles: 90.00 90.00 90.00
Sites, in units of the cell vectors:
Hf  0.000  0.000  0.000
Hg  0.500  0.500  0.500
P  0.000  0.000  0.500
S  0.000  0.500  0.000
S  0.500  0.000  0.000

4.
Density functional theory data (PBE) for TaInW2 after structural relaxation.

Computed properties:
Energy relative to the elements (eV per atom): 0.44
Raw total energy (eV/atom): -9.684

abc: 2.766 4.457 5.779
angles: 90.00 90.00 90.00
Sites, in units of the cell vectors:
Ta  0.000  0.000  0.000
In  0.000  0.000  0.500
W  0.500  0.500  0.249
W  0.500  0.500  0.751